(1)
This record from Alexandria describes a relaxed structure of YTaCdPd2. The functional is PBE.

a b c (Å): 4.854 4.854 5.269
angles (deg): 90.00 90.00 90.00
Element x y z (fractional)
Y 0.500 0.500 0.500
Pd 0.500 0.000 0.000
Pd 0.000 0.500 0.000
Cd 0.000 0.000 0.500
Ta 0.000 0.000 0.000

Values from the calculation:
Crystal system = tetragonal
Symmetry = No. 123
ΔH_f (0 K) = 0.43 eV per atom


(2)
This record from Alexandria describes a relaxed structure of MnAlV6. The functional is PBE.

a b c (Å): 4.174 5.179 5.179
angles (deg): 109.60 90.00 90.00
Element x y z (fractional)
Al 0.500 0.378 0.622
V 0.500 0.880 0.632
V 0.500 0.368 0.120
V 0.500 0.874 0.126
V 0.000 0.638 0.890
V 0.000 0.618 0.382
V 0.000 0.110 0.362
Mn 0.000 0.133 0.867

Values from the calculation:
Crystal system = orthorhombic
Symmetry = No. 38
Excess energy over the best structure of this formula in the dataset = 0 meV/atom
ΔH_f (0 K) = -0.12 eV per atom


(3)
This record from Alexandria describes a relaxed structure of MnIn2Si. The functional is PBE.

a b c (Å): 5.179 5.179 5.428
angles (deg): 73.75 73.75 35.43
Each line ends with the local moment (μB).
Element x y z (fractional)
In 0.003 0.003 0.997  -0.03
In 0.497 0.497 0.503  -0.03
Mn 0.750 0.750 0.750  3.66
Si 0.250 0.250 0.250  -0.01

Values from the calculation:
Crystal system = monoclinic
Symmetry = No. 12
Raw formation energy = 0.427 eV per atom
Excess energy over the best structure of this formula in the dataset = 277 meV/atom


(4)
This record from Alexandria describes a relaxed structure of TbZn2SiNi2. The functional is PBE.

a b c (Å): 4.272 4.272 5.544
angles (deg): 90.00 90.00 90.00
Element x y z (fractional)
Zn 0.500 0.500 0.264
Zn 0.500 0.500 0.736
Si 0.000 0.000 0.000
Tb 0.000 0.000 0.500
Ni 0.000 0.500 0.000
Ni 0.500 0.000 0.000

Values from the calculation:
Crystal system = tetragonal
Symmetry = No. 123
Raw formation energy = -0.299 eV per atom


(5)
This record from Alexandria describes a relaxed structure of Na2TlPW. The functional is PBE.

a b c (Å): 5.708 4.991 5.708
angles (deg): 90.00 90.00 90.00
Each line ends with the local moment (μB).
Element x y z (fractional)
Tl 0.000 0.000 0.000  0.00
Na 0.500 0.000 0.000  0.00
Na 0.000 0.000 0.500  0.00
W 0.500 0.500 0.500  3.38
P 0.000 0.500 0.000  -0.04

Values from the calculation:
Crystal system = tetragonal
Symmetry = No. 123
ΔH_f (0 K) = 1.60 eV per atom


(6)
This record from Alexandria describes a relaxed structure of Li2CuW. The functional is PBE.

a b c (Å): 4.626 4.626 5.147
angles (deg): 83.33 83.33 32.08
Element x y z (fractional)
Li 0.748 0.748 0.779
Li 0.989 0.989 0.979
Cu 0.255 0.255 0.280
W 0.508 0.508 0.462

Values from the calculation:
Crystal system = monoclinic
Symmetry = No. 8
Excess energy over the best structure of this formula in the dataset = 181 meV/atom
ΔH_f (0 K) = 0.44 eV per atom


(7)
This record from Alexandria describes a relaxed structure of Zn2Fe2Ge. The functional is PBE.

a b c (Å): 5.894 5.894 3.901
angles (deg): 90.00 90.00 90.00
Each line ends with the local moment (μB).
Element x y z (fractional)
Zn 0.661 0.839 0.500  -0.03
Zn 0.339 0.161 0.500  -0.03
Zn 0.161 0.661 0.500  -0.03
Zn 0.839 0.339 0.500  -0.03
Fe 0.865 0.635 0.000  0.60
Fe 0.635 0.135 0.000  0.60
Fe 0.365 0.865 0.000  0.60
Fe 0.135 0.365 0.000  0.60
Ge 0.000 0.000 0.000  -0.05
Ge 0.500 0.500 0.000  -0.05

Values from the calculation:
Crystal system = tetragonal
Symmetry = No. 127
ΔH_f (0 K) = 0.07 eV per atom


(8)
This record from Alexandria describes a relaxed structure of Zn2TeAu. The functional is PBE.

a b c (Å): 5.189 5.189 5.189
angles (deg): 131.07 98.09 101.67
Element x y z (fractional)
Zn 0.035 0.035 0.000
Zn 0.465 0.465 0.000
Au 0.250 0.750 0.500
Te 0.750 0.250 0.500

Values from the calculation:
Crystal system = orthorhombic
Symmetry = No. 71
Raw formation energy = 0.052 eV per atom